(1)
The following is a DFT calculation (GGA-PBEsol) of crystalline TlFeAs2 at its relaxed geometry. Values from VASP.

Geometry as Quantum ESPRESSO input:
```
&SYSTEM
  ibrav = 0, nat = 4, ntyp = 3
/
ATOMIC_SPECIES
Tl 204.38 Tl.upf
Fe 55.84 Fe.upf
As 74.92 As.upf
ATOMIC_POSITIONS crystal
Tl 0.000 0.000 0.000
Fe 0.500 0.500 0.500
As 0.225 0.225 0.225
As 0.775 0.775 0.775
CELL_PARAMETERS angstrom
1.543 0.891 9.258
-1.543 0.891 9.258
0.000 -1.782 9.258
```

Summary:
- formation enthalpy at 0 K (eV per atom) = 0.009
- symmetry = No. 166
- Fermi-level density of states (states/eV per atom) = 0.452

=====

(2)
The following is a DFT calculation (GGA-PBEsol) of crystalline Li2NiPb2 at its relaxed geometry. Values from VASP.

Geometry as Quantum ESPRESSO input:
```
&SYSTEM
  ibrav = 0, nat = 5, ntyp = 3
/
ATOMIC_SPECIES
Li 6.94 Li.upf
Ni 58.69 Ni.upf
Pb 207.20 Pb.upf
ATOMIC_POSITIONS crystal
Li 0.161 0.161 0.000
Li 0.839 0.839 0.000
Ni 0.500 0.500 0.000
Pb 0.250 0.750 0.500
Pb 0.750 0.250 0.500
CELL_PARAMETERS angstrom
-2.575 2.575 3.562
2.575 -2.575 3.562
2.575 2.575 -3.562
```

Summary:
- formation enthalpy at 0 K (eV per atom) = 0.243
- symmetry = No. 139
- Fermi-level density of states (states/eV per atom) = 0.391

=====

(3)
The following is a DFT calculation (GGA-PBEsol) of crystalline CrIr2 at its relaxed geometry. Values from VASP.

Geometry as Quantum ESPRESSO input:
```
&SYSTEM
  ibrav = 0, nat = 3, ntyp = 2
/
ATOMIC_SPECIES
Cr 52.00 Cr.upf
Ir 192.22 Ir.upf
ATOMIC_POSITIONS crystal
Cr 0.000 0.000 0.000
Ir 0.342 0.342 0.000
Ir 0.658 0.658 0.000
CELL_PARAMETERS angstrom
-1.335 1.335 5.539
1.335 -1.335 5.539
1.335 1.335 -5.539
```

Summary:
- formation enthalpy at 0 K (eV per atom) = -0.162
- symmetry = No. 139
- Fermi-level density of states (states/eV per atom) = 0.948

=====

(4)
The following is a DFT calculation (GGA-PBEsol) of crystalline Tl6SCl4 at its relaxed geometry. Values from VASP.

Geometry as Quantum ESPRESSO input:
```
&SYSTEM
  ibrav = 0, nat = 22, ntyp = 3
/
ATOMIC_SPECIES
Tl 204.38 Tl.upf
S 32.06 S.upf
Cl 35.45 Cl.upf
ATOMIC_POSITIONS crystal
Tl 0.000 0.000 0.191
Tl 0.000 0.000 0.809
Tl 0.120 0.328 0.500
Tl 0.172 0.380 0.000
Tl 0.328 0.880 0.500
Tl 0.380 0.828 0.000
Tl 0.500 0.500 0.309
Tl 0.500 0.500 0.691
Tl 0.620 0.172 0.000
Tl 0.672 0.120 0.500
Tl 0.828 0.620 0.000
Tl 0.880 0.672 0.500
S 0.000 0.000 0.500
S 0.500 0.500 0.000
Cl 0.165 0.665 0.250
Cl 0.165 0.665 0.750
Cl 0.335 0.165 0.250
Cl 0.335 0.165 0.750
Cl 0.665 0.835 0.250
Cl 0.665 0.835 0.750
Cl 0.835 0.335 0.250
Cl 0.835 0.335 0.750
CELL_PARAMETERS angstrom
8.221 0.000 0.000
0.000 8.221 0.000
0.000 0.000 9.068
```

Summary:
- ΔE_f (raw) (eV per atom) = -0.76
- symmetry = No. 128
- Fermi-level density of states (states/eV per atom) = 0.000

=====

(5)
The following is a DFT calculation (GGA-PBEsol) of crystalline Co2Pb at its relaxed geometry. Values from VASP.

Geometry as Quantum ESPRESSO input:
```
&SYSTEM
  ibrav = 0, nat = 3, ntyp = 2
/
ATOMIC_SPECIES
Co 58.93 Co.upf
Pb 207.20 Pb.upf
ATOMIC_POSITIONS crystal
Co 0.333 0.667 0.000
Co 0.667 0.333 0.000
Pb 0.000 0.000 0.500
CELL_PARAMETERS angstrom
3.952 0.000 0.000
-1.976 3.422 0.000
0.000 0.000 3.450
```

Summary:
- formation enthalpy at 0 K (eV per atom) = 0.560
- symmetry = No. 191
- Fermi-level density of states (states/eV per atom) = 1.090

=====

(6)
The following is a DFT calculation (GGA-PBEsol) of crystalline Ag4Au at its relaxed geometry. Values from VASP.

Geometry as Quantum ESPRESSO input:
```
&SYSTEM
  ibrav = 0, nat = 5, ntyp = 2
/
ATOMIC_SPECIES
Ag 107.87 Ag.upf
Au 196.97 Au.upf
ATOMIC_POSITIONS crystal
Ag 0.101 0.101 0.000
Ag 0.300 0.300 0.000
Ag 0.700 0.700 0.000
Ag 0.899 0.899 0.000
Au 0.500 0.500 0.000
CELL_PARAMETERS angstrom
-1.424 1.424 10.238
1.424 -1.424 10.238
1.424 1.424 -10.238
```

Summary:
- formation enthalpy at 0 K (eV per atom) = -0.024
- symmetry = No. 139
- Fermi-level density of states (states/eV per atom) = 0.247

=====

Table of total DFT energy (no corrections) (eV per atom), in record order: -5.44; -3.37; -10.12; -3.32; -5.93; -3.46